Here is a relaxed CaAcZn3 crystal from Alexandria via LeMat-Bulk. Energies are from PBE-GGA.

a b c (Å): 3.939 27.865 4.699
angles (deg): 90.00 90.00 90.00
Space group Cmcm (No. 63)
Unique sites:
Ca  0.000  0.208  0.250 [4 per cell]
Ac  0.000  0.074  0.750 [4 per cell]
Zn  0.000  0.327  0.250 [4 per cell]
Zn  0.000  0.378  0.750 [4 per cell]
Zn  0.000  0.476  0.750 [4 per cell]

Output
- Magnetization: 0.000 μB per atom
- V: 515.74 Å³/cell
- Energy of formation from the pure elements: -0.270 eV/atom